[1]
A plane-wave DFT calculation with PBE-GGA was carried out for a relaxed CsSn2Se4 crystal.

Its crystal system is triclinic. For the uncorrected formation energy, the calculation gives -527 meV/atom.

Lattice parameters (Å, degrees): 7.9584 7.9648 9.8265 96.63 107.07 119.47
Space group P1 (No. 1)
Unique sites:
1 Cs 0.0000 0.0000 0.0000 (multiplicity 1)
2 Cs 0.3655 0.5963 0.9646 (multiplicity 1)
3 Sn 0.2803 0.7616 0.5222 (multiplicity 1)
4 Sn 0.7357 0.4245 0.1555 (multiplicity 1)
5 Sn 0.7547 0.7539 0.5073 (multiplicity 1)
6 Sn 0.7622 0.2432 0.5218 (multiplicity 1)
7 Se 0.0252 0.6593 0.6844 (multiplicity 1)
8 Se 0.0308 0.1470 0.6625 (multiplicity 1)
9 Se 0.4877 0.8446 0.3295 (multiplicity 1)
10 Se 0.5110 0.3492 0.3272 (multiplicity 1)
11 Se 0.5162 0.6329 0.6630 (multiplicity 1)
12 Se 0.5308 0.1526 0.6824 (multiplicity 1)
13 Se 0.9813 0.8192 0.3278 (multiplicity 1)
14 Se 0.9926 0.3482 0.3378 (multiplicity 1)


[2]
A plane-wave DFT calculation with PBE-GGA was carried out for a relaxed SrPr4SmSe8 crystal.

Its crystal system is trigonal. For the uncorrected formation energy, the calculation gives -1802 meV/atom.

Lattice parameters (Å, degrees): 8.8226 8.8226 21.4735 90.00 90.00 120.00
Space group R3m (No. 160, hexagonal axes)
Unique sites:
1 Sr 0.0000 0.0000 0.0000 (multiplicity 3)
2 Pr 0.0000 0.0000 0.2488 (multiplicity 3)
3 Pr 0.1691 0.3381 0.4571 (multiplicity 9)
4 Sm 0.0000 0.0000 0.6263 (multiplicity 3)
5 Se 0.0000 0.0000 0.3820 (multiplicity 3)
6 Se 0.0000 0.0000 0.8633 (multiplicity 3)
7 Se 0.0331 0.5165 0.3765 (multiplicity 9)
8 Se 0.1789 0.3578 0.2065 (multiplicity 9)


[3]
A plane-wave DFT calculation with PBE-GGA was carried out for a relaxed Tc2SnF4 crystal.

Its crystal system is tetragonal. For the uncorrected formation energy, the calculation gives -505 meV/atom.

Lattice parameters (Å, degrees): 4.8600 4.8600 11.6614 90.00 90.00 90.00
Space group I4/mmm (No. 139)
Unique sites:
1 Tc 0.0000 0.0000 0.1140 (multiplicity 4)
2 Sn 0.0000 0.0000 0.5000 (multiplicity 2)
3 F 0.0000 0.0000 0.3040 (multiplicity 4)
4 F 0.0000 0.5000 0.0000 (multiplicity 4)


[4]
A plane-wave DFT calculation with PBE-GGA was carried out for a relaxed Zr3Pa4 crystal.

For the calculated formation energy, the calculation gives 94 meV/atom. Its crystal system is hexagonal.

Lattice parameters (Å, degrees): 8.4708 8.4708 5.4885 90.00 90.00 120.00
Space group P6_3/m (No. 176)
Unique sites:
1 Zr 0.0350 0.8093 0.2500 (multiplicity 6)
2 Pa 0.0888 0.6105 0.7500 (multiplicity 6)
3 Pa 0.3333 0.6667 0.2500 (multiplicity 2)


[5]
A plane-wave DFT calculation with PBE-GGA was carried out for a relaxed Rb3Np2VS6 crystal.

Its crystal system is monoclinic. For the uncorrected formation energy, the calculation gives -1231 meV/atom.

Lattice parameters (Å, degrees): 6.8858 11.9270 7.9991 90.00 106.70 90.00
Space group C2/m (No. 12)
Unique sites:
1 Rb 0.0000 0.0000 0.0000 (multiplicity 2)
2 Rb 0.0000 0.3323 0.0000 (multiplicity 4)
3 Np 0.0000 0.1666 0.5000 (multiplicity 4)
4 V 0.0000 0.5000 0.5000 (multiplicity 2)
5 S 0.2203 0.3418 0.6860 (multiplicity 8)
6 S 0.2458 0.0000 0.6866 (multiplicity 4)


[6]
A plane-wave DFT calculation with PBE-GGA was carried out for a relaxed TaCr2Ru crystal.

The energy above the most stable polymorph in this dataset is 16.16 kcal/mol of atoms. For the calculated formation energy, the calculation gives 642 meV/atom. Its crystal system is tetragonal.

Lattice parameters (Å, degrees): 6.8792 6.8792 5.0851 90.00 90.00 90.00
Space group I-42d (No. 122)
Unique sites:
1 Ta 0.0000 0.0000 0.0000 (multiplicity 4)
2 Cr 0.2289 0.2500 0.6250 (multiplicity 8)
3 Ru 0.0000 0.0000 0.5000 (multiplicity 4)


In order of appearance, total DFT energy (no corrections) = -52.97; -235.85; -71.50; -125.94; -154.89; -151.22 eV per cell.